# SmDyTl6 | the Alexandria database | PBE | optimized geometry
# - electronic total energy (eV/cell) = -25.64
# - energy of formation (kJ/mol of formula units) = -204
data_SmDyTl6
_chemical_formula_sum 'Sm1 Dy1 Tl6'
_symmetry_space_group_name_H-M 'P 4/m m m'
_symmetry_Int_Tables_number 123
_symmetry_space_group_name_Hall '-P 4 2'
_cell_length_a 4.7855
_cell_length_b 4.7855
_cell_length_c 9.5771
_cell_angle_alpha 90.00
_cell_angle_beta 90.00
_cell_angle_gamma 90.00
loop_
_atom_site_label
_atom_site_type_symbol
_atom_site_fract_x
_atom_site_fract_y
_atom_site_fract_z
_atom_site_occupancy
Sm1 Sm 0.0000 0.0000 0.0000 1
Dy1 Dy 0.0000 0.0000 0.5000 1
Tl1 Tl 0.0000 0.5000 0.2524 1
Tl2 Tl 0.5000 0.5000 0.0000 1
Tl3 Tl 0.5000 0.5000 0.5000 1